Density functional theory data (GGA+U) for a relaxed Nb3MoO crystal.

The structure in CIF format:
```
data_Nb3MoO
_cell_length_a 4.8364
_cell_length_b 4.8364
_cell_length_c 4.8364
_cell_angle_alpha 90.00
_cell_angle_beta 90.00
_cell_angle_gamma 90.00
_space_group_name_H-M_alt 'P 1'
_space_group_IT_number 1
_space_group_name_Hall 'P 1'
loop_
_atom_site_label
_atom_site_type_symbol
_atom_site_fract_x
_atom_site_fract_y
_atom_site_fract_z
Mo1 Mo 0.0000 0.0000 0.0000
Nb1 Nb 0.0000 0.5000 0.0000
Nb2 Nb 0.0000 0.0000 0.5000
Nb3 Nb 0.5000 0.0000 0.0000
O1 O 0.5000 0.5000 0.5000
```

Space-group type: Pm-3m, No. 221
Magnetic moment: 0.90 μB/f.u.
Raw total energy: -6.42 eV/atom
DOS at the Fermi energy: 6.5 states/eV/f.u.

Density functional theory data (GGA+U) for a relaxed Nb2MoO8 crystal.

The structure in CIF format:
```
data_Nb2MoO8
_cell_length_a 10.5658
_cell_length_b 10.5658
_cell_length_c 5.1260
_cell_angle_alpha 89.84
_cell_angle_beta 89.84
_cell_angle_gamma 33.81
_space_group_name_H-M_alt 'P 1'
_space_group_IT_number 1
_space_group_name_Hall 'P 1'
loop_
_atom_site_label
_atom_site_type_symbol
_atom_site_fract_x
_atom_site_fract_y
_atom_site_fract_z
Nb1 Nb 0.9463 0.3176 0.7439
Nb2 Nb 0.6824 0.0537 0.7561
Nb3 Nb 0.0537 0.6824 0.2561
Nb4 Nb 0.3176 0.9463 0.2439
Mo1 Mo 0.3356 0.6644 0.7500
Mo2 Mo 0.6644 0.3356 0.2500
O1 O 0.8980 0.2147 0.4158
O2 O 0.7853 0.1020 0.0842
O3 O 0.1020 0.7853 0.5842
O4 O 0.2147 0.8980 0.9158
O5 O 0.6628 0.4414 0.9314
O6 O 0.5586 0.3372 0.5686
O7 O 0.3372 0.5586 0.0686
O8 O 0.4414 0.6628 0.4314
O9 O 0.0749 0.2462 0.0741
O10 O 0.7538 0.9251 0.4259
O11 O 0.5691 0.8045 0.1366
O12 O 0.1955 0.4309 0.3634
O13 O 0.4309 0.1955 0.8634
O14 O 0.8045 0.5691 0.6366
O15 O 0.2462 0.0749 0.5741
O16 O 0.9251 0.7538 0.9259
```

Space-group type: C2/c, No. 15
Magnetic moment: 0.00 μB/f.u.
Raw total energy: -8.08 eV/atom
DOS at the Fermi energy: 0.0 states/eV/f.u.